LaMoRu2: optimized geometry, PBE.

Space-group type: F-43m (216)
Crystal system: cubic
ΔE to the lowest computed polymorph in eV/atom: 0.396
Theoretical density in g cm⁻³: 10.27
Calculated formation energy in kJ/mol of atoms: 43

Unit cell a=4.640 b=4.640 c=4.640 alpha=120.01 beta=120.01 gamma=89.98
Site moments in Bohr magnetons follow the coordinates.
Atoms (fractional coordinates):
1 Ru 0.250 0.750 0.500  0.84
2 Ru 0.000 0.000 0.000  0.66
3 Mo 0.750 0.250 0.500  -0.06
4 La 0.500 0.500 0.000  0.00